(1)
BeZnAg after structural relaxation, computed with GGA-PBE.

Lattice parameters (Å, degrees): 5.241 5.241 6.828 118.42 118.42 30.42
Fractional positions:
Be (0.168, 0.168, 0.032)
Be (0.832, 0.832, 0.968)
Zn (0.139, 0.139, 0.660)
Zn (0.861, 0.861, 0.340)
Ag (0.429, 0.429, 0.745)
Ag (0.571, 0.571, 0.255)

Values from the calculation:
Its space group is C2/m. The energy of formation from the pure elements comes out at 0.1137 eV/atom. For the relative energy among the computed polymorphs, the calculation gives 63 meV/atom.

***

(2)
ScHgOF2 after structural relaxation, computed with GGA-PBE.

Lattice parameters (Å, degrees): 4.576 4.576 4.195 90.00 90.00 90.00
Fractional positions:
Sc (0.000, 0.000, 0.000)
Hg (0.500, 0.500, 0.500)
O (0.500, 0.500, 0.000)
F (0.000, 0.500, 0.500)
F (0.500, 0.000, 0.500)

Values from the calculation:
Its space group is P4/mmm. The formation energy without anion corrections is -4.972 eV/f.u. For the relative energy among the computed polymorphs, the calculation gives 1481 meV/atom.

***

(3)
La3GaI3 after structural relaxation, computed with GGA-PBE.

Lattice parameters (Å, degrees): 11.109 11.109 11.109 109.47 109.47 109.47
Fractional positions:
La (0.013, 0.026, 0.263)
La (0.013, 0.487, 0.750)
La (0.026, 0.263, 0.013)
La (0.237, 0.263, 0.750)
La (0.237, 0.474, 0.487)
La (0.263, 0.013, 0.026)
La (0.263, 0.750, 0.237)
La (0.474, 0.487, 0.237)
La (0.487, 0.237, 0.474)
La (0.487, 0.750, 0.013)
La (0.750, 0.013, 0.487)
La (0.750, 0.237, 0.263)
Ga (0.000, 0.250, 0.500)
Ga (0.250, 0.250, 0.250)
Ga (0.250, 0.500, 0.000)
Ga (0.500, 0.000, 0.250)
I (0.250, 0.757, 0.743)
I (0.250, 0.993, 0.507)
I (0.507, 0.250, 0.993)
I (0.507, 0.757, 0.515)
I (0.515, 0.507, 0.757)
I (0.743, 0.250, 0.757)
I (0.743, 0.993, 0.985)
I (0.757, 0.515, 0.507)
I (0.757, 0.743, 0.250)
I (0.985, 0.743, 0.993)
I (0.993, 0.507, 0.250)
I (0.993, 0.985, 0.743)

Values from the calculation:
Its space group is I4_132. The formation energy without anion corrections is -8.076 eV/f.u.